Entry 1:
GGA-PBE TbPm4Y2Ho2, relaxed; SG = C2/m (12); crystal system = monoclinic; DOS(E_F) = 1.447 states/eV per atom; uncorrected energy = -45.6 eV for the cell shown
1.0
5.080 0.000 0.000
-2.540 7.631 0.017
0.000 -2.556 7.621
Tb Pm Y Ho
1 4 2 2
Direct
0.000 0.000 0.000
0.778 0.556 0.668
0.222 0.444 0.332
0.555 0.110 0.330
0.445 0.890 0.670
0.888 0.777 0.331
0.112 0.223 0.669
0.333 0.666 0.000
0.667 0.334 0.000

Entry 2:
GGA-PBE TmSc2Al2Zn2, relaxed; SG = R-3m (166); crystal system = trigonal; DOS(E_F) = 0.665 states/eV per atom; uncorrected energy = -29.3 eV for the cell shown
1.0
4.420 0.000 0.000
2.210 3.828 0.000
2.210 1.276 8.436
Tm Sc Al Zn
1 2 2 2
Direct
0.000 0.000 0.000
0.130 0.130 0.610
0.870 0.870 0.390
0.742 0.742 0.775
0.258 0.258 0.225
0.596 0.596 0.213
0.404 0.404 0.787

Entry 3:
GGA-PBE PmMg2Tl, relaxed; SG = Pmmn (59); crystal system = orthorhombic; energy above the most stable polymorph in this dataset = 0.023 eV per atom; DOS(E_F) = 0.675 states/eV per atom; uncorrected energy = -22.3 eV for the cell shown
1.0
-2.944 -2.141 -3.246
1.132 -5.636 2.690
-5.279 0.931 4.173
Pm Mg Tl
2 4 2
Direct
0.000 0.000 0.406
0.500 0.500 0.594
0.000 0.255 0.864
0.000 0.745 0.864
0.500 0.245 0.136
0.500 0.755 0.136
0.000 0.500 0.270
0.500 0.000 0.730